1.
A plane-wave DFT calculation with GGA-PBE was carried out for Tc2Cl4O5 after structural relaxation.

Computed properties:
- E: -62.69 eV/cell
- Energy relative to the elements, uncorrected: -889.0 meV per atom
- Symmetry: P-1 (2)

abc: 6.350 6.576 6.976
angles: 102.47 104.29 97.09
Positions (direct):
Tc 0.184 0.192 0.247
Tc 0.816 0.808 0.753
Cl 0.102 0.617 0.792
Cl 0.407 0.934 0.235
Cl 0.593 0.066 0.765
Cl 0.898 0.383 0.208
O 0.000 0.000 0.000
O 0.188 0.195 0.493
O 0.380 0.389 0.240
O 0.620 0.611 0.760
O 0.812 0.805 0.507


2.
A plane-wave DFT calculation with GGA-PBE was carried out for ScAgPO2 after structural relaxation.

Computed properties:
- E: -25.37 eV/cell
- Energy relative to the elements, uncorrected: -171.3 meV per atom
- Symmetry: P4/mmm (123)
- Energy above the lowest structure with this stoichiometry: 644 meV/atom

abc: 4.029 4.029 4.796
angles: 90.00 90.00 90.00
Positions (direct):
Sc 0.000 0.000 0.000
Ag 0.500 0.500 0.500
P 0.500 0.500 0.000
O 0.000 0.500 0.500
O 0.500 0.000 0.500


3.
A plane-wave DFT calculation with GGA-PBE was carried out for Dy4Zn2Cd5 after structural relaxation.

Computed properties:
- E: -28.57 eV/cell
- Energy of formation from the pure elements: -0.2759 eV/atom
- Symmetry: P2/m (10)

abc: 7.628 3.635 9.681
angles: 90.00 93.78 90.00
Positions (direct):
Dy 0.171 0.000 0.367
Dy 0.252 0.000 0.938
Dy 0.748 0.000 0.062
Dy 0.829 0.000 0.633
Zn 0.061 0.500 0.130
Zn 0.939 0.500 0.870
Cd 0.182 0.500 0.655
Cd 0.440 0.500 0.190
Cd 0.500 0.500 0.500
Cd 0.560 0.500 0.810
Cd 0.818 0.500 0.345


4.
A plane-wave DFT calculation with GGA-PBE was carried out for La5NdPb4 after structural relaxation.

Computed properties:
- E: -48.64 eV/cell
- Energy of formation from the pure elements: -0.4401 eV/atom
- Symmetry: C2/m (12)

abc: 9.027 9.027 7.441
angles: 90.38 90.38 36.62
Positions (direct):
La 0.000 0.000 0.000
La 0.333 0.333 0.490
La 0.334 0.334 0.006
La 0.666 0.666 0.994
La 0.667 0.667 0.510
Nd 0.000 0.000 0.500
Pb 0.174 0.174 0.749
Pb 0.492 0.492 0.745
Pb 0.508 0.508 0.255
Pb 0.826 0.826 0.251